{
  "formula": "CoH2SeO5",
  "functional": "PBE+U",
  "state": "optimized geometry",
  "vol_a3_per_cell": 185.8,
  "m_tot_mub_per_cell": 2.00,
  "crystal_system": "monoclinic",
  "energy_ev_per_atom": -5.249,
  "lattice_angstrom": [[3.505, -3.970, 0.000], [3.505, 3.970, 0.000], [-3.462, 0.000, 6.676]],
  "species": ["Co", "Co", "H", "H", "H", "H", "Se", "Se", "O", "O", "O", "O", "O", "O", "O", "O", "O", "O"],
  "frac_coords": [[0.000, 0.500, 0.000], [0.500, 0.000, 0.500], [0.037, 0.127, 0.700], [0.127, 0.037, 0.200], [0.873, 0.963, 0.800], [0.963, 0.873, 0.300], [0.409, 0.591, 0.750], [0.591, 0.409, 0.250], [0.119, 0.881, 0.250], [0.248, 0.309, 0.153], [0.289, 0.707, 0.932], [0.293, 0.711, 0.568], [0.309, 0.248, 0.653], [0.691, 0.752, 0.347], [0.707, 0.289, 0.432], [0.711, 0.293, 0.068], [0.752, 0.691, 0.847], [0.881, 0.119, 0.750]]
}